Record 1
A plane-wave DFT calculation with PBE-GGA was carried out for a relaxed structure of CaH12O7.

Calculated values
raw total energy	-4.3540	eV/atom

```
data_CaH12O7
_chemical_formula_sum 'Ca3 H36 O21'
_space_group_name_H-M_alt 'R -3'
_space_group_IT_number 148
_space_group_name_Hall '-R 3'
_cell_length_a 5.8620
_cell_length_b 5.8620
_cell_length_c 14.8429
_cell_angle_alpha 90.00
_cell_angle_beta 90.00
_cell_angle_gamma 120.00
loop_
_atom_site_label
_atom_site_fract_x
_atom_site_fract_y
_atom_site_fract_z
Ca1 0.0000 0.0000 0.0000
H1 0.0035 0.2684 0.4752
H2 0.0575 0.5259 0.9838
O1 0.0000 0.0000 0.5000
O2 0.0001 0.4395 0.4565
```

Record 2
A plane-wave DFT calculation with PBE-GGA was carried out for a relaxed structure of TbB6Rh12.

Calculated values
raw total energy	-7.3634	eV/atom
energy of formation	-675	kJ/mol of formula units

```
data_TbB6Rh12
_chemical_formula_sum 'Tb3 B18 Rh36'
_space_group_name_H-M_alt 'R -3 m'
_space_group_IT_number 166
_space_group_name_Hall '-R 3 2"'
_cell_length_a 10.2447
_cell_length_b 10.2447
_cell_length_c 8.0145
_cell_angle_alpha 90.00
_cell_angle_beta 90.00
_cell_angle_gamma 120.00
loop_
_atom_site_label
_atom_site_fract_x
_atom_site_fract_y
_atom_site_fract_z
Tb1 0.0000 0.0000 0.0000
B1 0.0421 0.5211 0.2865
Rh1 0.0000 0.3668 0.5000
Rh2 0.0878 0.1756 0.3609
```

Record 3
A plane-wave DFT calculation with PBE-GGA was carried out for a relaxed structure of HgRuF2.

Calculated values
polymorph energy (0 for the lowest one)	0.415	eV per atom
formation energy (no corrections)	-0.406	eV/atom
raw total energy	-3.7358	eV/atom

```
data_HgRuF2
_chemical_formula_sum 'Hg4 Ru4 F8'
_space_group_name_H-M_alt 'I -4 2 d'
_space_group_IT_number 122
_space_group_name_Hall 'I -4 2bw'
_cell_length_a 4.2038
_cell_length_b 4.2038
_cell_length_c 15.0888
_cell_angle_alpha 90.00
_cell_angle_beta 90.00
_cell_angle_gamma 90.00
loop_
_atom_site_label
_atom_site_fract_x
_atom_site_fract_y
_atom_site_fract_z
Hg1 0.0000 0.0000 0.0000
Ru1 0.0000 0.0000 0.5000
F1 0.1539 0.2500 0.6250
```

Record 4
A plane-wave DFT calculation with PBE-GGA was carried out for a relaxed structure of Sr2YCd.

Calculated values
raw total energy	-2.4733	eV/atom
energy of formation	82	kJ/mol of formula units

```
data_Sr2YCd
_chemical_formula_sum 'Sr8 Y4 Cd4'
_space_group_name_H-M_alt 'I -4 2 d'
_space_group_IT_number 122
_space_group_name_Hall 'I -4 2bw'
_cell_length_a 9.5877
_cell_length_b 9.5877
_cell_length_c 6.9161
_cell_angle_alpha 90.00
_cell_angle_beta 90.00
_cell_angle_gamma 90.00
loop_
_atom_site_label
_atom_site_fract_x
_atom_site_fract_y
_atom_site_fract_z
Sr1 0.1991 0.2500 0.1250
Y1 0.0000 0.0000 0.5000
Cd1 0.0000 0.0000 0.0000
```